[1]
The following is a PBE calculation of a relaxed structure of Ca2MoIr, from Alexandria.

a = 4.8307 Å, b = 4.8307 Å, c = 4.8307 Å
α = 120.04°, β = 120.04°, γ = 89.93°
Each line ends with the local moment (μB).
Sites, in units of the cell vectors:
Mo 0.7500 0.2500 0.5000  0.47
Ir 0.5000 0.5000 0.0000  0.00
Ca 0.0000 0.0000 0.0000  0.04
Ca 0.2500 0.7500 0.5000  0.01

## Properties
The offset from the most stable computed form is 423.6 meV per atom. Its space group is No. 216.



[2]
The following is a PBE calculation of a relaxed structure of TbGa8Cu2, from Alexandria.

a = 6.3358 Å, b = 6.3358 Å, c = 5.4665 Å
α = 90.00°, β = 90.00°, γ = 90.00°
Sites, in units of the cell vectors:
Tb 0.5000 0.5000 0.5000
Ga 0.7900 0.7900 0.2498
Ga 0.7900 0.2100 0.7502
Ga 0.7900 0.7900 0.7502
Ga 0.7900 0.2100 0.2498
Ga 0.2100 0.7900 0.2498
Ga 0.2100 0.7900 0.7502
Ga 0.2100 0.2100 0.2498
Ga 0.2100 0.2100 0.7502
Cu 0.5000 0.0000 0.0000
Cu 0.0000 0.5000 0.0000

## Properties
For the final energy, the calculation gives -3.38 eV/atom. Its space group is No. 123.



[3]
The following is a PBE calculation of a relaxed structure of Zr3TiBi2, from Alexandria.

a = 4.9349 Å, b = 6.9306 Å, c = 10.0239 Å
α = 80.11°, β = 61.14°, γ = 69.14°
Sites, in units of the cell vectors:
Zr 0.3981 0.6501 0.7719
Zr 0.2633 0.0000 0.2412
Zr 0.6019 0.3499 0.2281
Zr 0.9519 0.6501 0.2281
Zr 0.0481 0.3499 0.7719
Zr 0.7367 0.0000 0.7588
Ti 0.6641 0.6718 0.0000
Ti 0.3359 0.3282 0.0000
Bi 0.0000 0.0000 0.0000
Bi 0.5000 0.0000 0.5000
Bi 0.1668 0.6663 0.5000
Bi 0.8332 0.3337 0.5000

## Properties
The offset from the most stable computed form is 206.9 meV per atom. Its space group is No. 12.



[4]
The following is a PBE calculation of a relaxed structure of CaHf2Au2, from Alexandria.

a = 8.4446 Å, b = 8.4446 Å, c = 3.0545 Å
α = 90.00°, β = 90.00°, γ = 90.00°
Sites, in units of the cell vectors:
Hf 0.3754 0.8754 0.0000
Hf 0.8754 0.6246 0.0000
Hf 0.6246 0.1246 0.0000
Hf 0.1246 0.3754 0.0000
Ca 0.0000 0.0000 0.0000
Ca 0.5000 0.5000 0.0000
Au 0.1723 0.6723 0.5000
Au 0.6723 0.8277 0.5000
Au 0.8277 0.3277 0.5000
Au 0.3277 0.1723 0.5000

## Properties
The offset from the most stable computed form is 25.2 meV per atom. Its space group is No. 127.



[5]
The following is a PBE calculation of a relaxed structure of NiH7Pd5, from Alexandria.

a = 2.9110 Å, b = 4.4021 Å, c = 19.6992 Å
α = 90.77°, β = 64.30°, γ = 89.60°
Sites, in units of the cell vectors:
Ni 0.7263 0.5052 0.2573
Ni 0.2597 0.4892 0.7461
H 0.2383 0.7298 0.2524
H 0.7420 0.2630 0.7528
H 0.4692 0.2799 0.0125
H 0.2240 0.7519 0.9254
H 0.2439 0.7525 0.5856
H 0.7414 0.2372 0.4204
H 0.9687 0.2997 0.1756
H 0.0198 0.6889 0.8261
H 0.7877 0.7005 0.7353
H 0.1952 0.2877 0.2688
H 0.7255 0.7905 0.0911
H 0.2747 0.2324 0.9098
H 0.2495 0.2480 0.5860
H 0.7370 0.7429 0.4196
Pd 0.9908 0.0178 0.0055
Pd 0.7475 0.4929 0.9183
Pd 0.2237 0.5303 0.0927
Pd 0.9877 0.9856 0.3357
Pd 0.9956 0.0047 0.6697
Pd 0.4926 0.9948 0.5026
Pd 0.2507 0.4899 0.4161
Pd 0.7404 0.4998 0.5877
Pd 0.5061 0.9728 0.8298
Pd 0.4695 0.0268 0.1768

## Properties
For the final energy, the calculation gives -4.30 eV/atom. Its space group is No. 1.



[6]
The following is a PBE calculation of a relaxed structure of AgSb3Pb, from Alexandria.

a = 5.7842 Å, b = 5.7842 Å, c = 5.7842 Å
α = 90.00°, β = 90.00°, γ = 90.00°
Sites, in units of the cell vectors:
Pb 0.0000 0.0000 0.0000
Sb 0.0000 0.5000 0.0000
Sb 0.0000 0.0000 0.5000
Sb 0.5000 0.0000 0.0000
Ag 0.5000 0.5000 0.5000

## Properties
As for the uncorrected formation energy: 1.0825 eV/atom. The offset from the most stable computed form is 571.6 meV per atom. Its space group is No. 221.